(1)
Density functional theory data (PBE) for crystalline CsInF3 at its relaxed geometry.

- total DFT energy (no corrections) (eV for the cell shown) = -39.0
- formation energy (no corrections) (eV per atom) = -2.063

Unit cell a=4.6480 b=4.6480 c=10.0048 alpha=90.00 beta=90.00 gamma=120.00
With the nearest neighbours (Å) after each atom.
Atoms (fractional coordinates):
Cs: 0.3333 0.6667 0.7500  5 F 2.68-2.98
Cs: 0.6667 0.3333 0.2500  5 F 2.68-2.98
In: 0.0000 0.0000 0.5000  8 F 2.50-2.73
In: 0.0000 0.0000 0.0000  8 F 2.50-2.73
F: 0.3333 0.6667 0.4518  3 In 2.73, 3 F 2.85, 1 Cs 2.98
F: 0.0000 0.0000 0.2500  2 In 2.50, 3 Cs 2.68
F: 0.6667 0.3333 0.5482  3 In 2.73, 3 F 2.85, 1 Cs 2.98
F: 0.0000 0.0000 0.7500  2 In 2.50, 3 Cs 2.68
F: 0.3333 0.6667 0.0482  3 In 2.73, 3 F 2.85, 1 Cs 2.98
F: 0.6667 0.3333 0.9518  3 In 2.73, 3 F 2.85, 1 Cs 2.98



(2)
Density functional theory data (PBE) for crystalline Cs2InF4 at its relaxed geometry.

- total DFT energy (no corrections) (eV for the cell shown) = -29.3
- distance to the lowest polymorph of the same formula (eV per atom) = 0.0000
- formation energy (no corrections) (eV per atom) = -2.480

Unit cell a=4.6467 b=4.6467 c=8.2641 alpha=73.67 beta=73.67 gamma=90.00
With the nearest neighbours (Å) after each atom.
Atoms (fractional coordinates):
F: 0.1538 0.1538 0.6924  1 In 2.33
F: 0.5000 0.0000 0.0000  2 In 2.32
F: 0.0000 0.5000 0.0000  2 In 2.32
F: 0.8462 0.8462 0.3076  1 In 2.33
Cs: 0.6489 0.6489 0.7022  9 F 2.99-3.29
Cs: 0.3511 0.3511 0.2978  9 F 2.99-3.29
In: 0.0000 0.0000 0.0000  6 F 2.32-2.33



Q: The lowest total DFT energy (no corrections) belongs to which entry?
A: CsInF3